Entry 1:
DFT (PBE-GGA) results for an optimized crystal structure of MgZrSF2.

## Properties
Size of the total moment ... 0.0 μB/f.u.
Final energy ... -20.35 eV for the cell shown
Energy relative to the elements, uncorrected ... -0.4677 eV per atom

```
data_MgZrSF2
_chemical_formula_sum 'Mg1 Zr1 S1 F2'
_cell_length_a 4.7383
_cell_length_b 4.7383
_cell_length_c 4.7695
_cell_angle_alpha 90.00
_cell_angle_beta 90.00
_cell_angle_gamma 90.00
_symmetry_space_group_name_H-M 'P 4/m m m'
_symmetry_Int_Tables_number 123
_symmetry_space_group_name_Hall '-P 4 2'
loop_
_atom_site_label
_atom_site_type_symbol
_atom_site_fract_x
_atom_site_fract_y
_atom_site_fract_z
Mg1 Mg 0.0000 0.0000 0.0000
Zr1 Zr 0.5000 0.5000 0.0000
S1 S 0.5000 0.5000 0.5000
F1 F 0.0000 0.5000 0.5000
```


Entry 2:
DFT (PBE-GGA) results for an optimized crystal structure of MgSbF2.

## Properties
Size of the total moment ... 0.0 μB/f.u.
Final energy ... -57.36 eV for the cell shown
Polymorph energy (0 for the lowest one) ... 0.000 eV/atom
Energy relative to the elements, uncorrected ... -2.4151 eV per atom

```
data_MgSbF2
_chemical_formula_sum 'Mg3 Sb3 F6'
_cell_length_a 3.1278
_cell_length_b 3.1278
_cell_length_c 29.0846
_cell_angle_alpha 90.00
_cell_angle_beta 90.00
_cell_angle_gamma 120.00
_symmetry_space_group_name_H-M 'R -3 m'
_symmetry_Int_Tables_number 166
_symmetry_space_group_name_Hall '-R 3 2"'
loop_
_atom_site_label
_atom_site_type_symbol
_atom_site_fract_x
_atom_site_fract_y
_atom_site_fract_z
Mg1 Mg 0.0000 0.0000 0.0000
Sb1 Sb 0.0000 0.0000 0.5000
F1 F 0.0000 0.0000 0.3655
```


Q: final energy of number 1 (MgZrSF2)?
A: -20.35 eV for the cell shown